# Cu2AsPb PBE optimized geometry
# * E_tot: -3.71 eV per atom
# * crystal system: cubic
data_Cu2AsPb
_chemical_formula_sum 'Cu8 As4 Pb4'
_cell_length_a 6.632
_cell_length_b 6.632
_cell_length_c 6.632
_cell_angle_alpha 90.00
_cell_angle_beta 90.00
_cell_angle_gamma 90.00
_symmetry_space_group_name_H-M 'P m -3 m'
_symmetry_Int_Tables_number 221
_symmetry_space_group_name_Hall '-P 4 2 3'
loop_
_atom_site_label
_atom_site_fract_x
_atom_site_fract_y
_atom_site_fract_z
Cu1 0.216 0.216 0.216
As1 0.000 0.000 0.000
As2 0.000 0.000 0.500
Pb1 0.000 0.500 0.500
Pb2 0.500 0.500 0.500